# 1
# HgSbPS2, relaxed, DFT GGA-PBE
data_HgSbPS2
_chemical_formula_sum 'Hg1 Sb1 P1 S2'
_cell_length_a 4.986
_cell_length_b 4.986
_cell_length_c 5.271
_cell_angle_alpha 90.00
_cell_angle_beta 90.00
_cell_angle_gamma 90.00
_space_group_name_H-M_alt 'P 1'
_space_group_IT_number 1
loop_
_space_group_symop_operation_xyz
'x,y,z'
loop_
_atom_site_label
_atom_site_type_symbol
_atom_site_fract_x
_atom_site_fract_y
_atom_site_fract_z
P1 P 0.000 0.000 0.500
S1 S 0.500 0.000 0.000
S2 S 0.000 0.500 0.000
Hg1 Hg 0.500 0.500 0.500
Sb1 Sb 0.000 0.000 0.000
# Calculated density, g/cm3: 5.29
# Energy above the lowest structure with this stoichiometry, meV/atom: 0
# Total DFT energy (no corrections), eV/cell: -14.72
# Volume, Å³ per cell: 131.0
# Total magnetic moment, μB/f.u.: 0.8

# 2
# HgPSeS2, relaxed, DFT GGA-PBE
data_HgPSeS2
_chemical_formula_sum 'Hg1 P1 Se1 S2'
_cell_length_a 4.817
_cell_length_b 4.817
_cell_length_c 4.955
_cell_angle_alpha 90.00
_cell_angle_beta 90.00
_cell_angle_gamma 90.00
_space_group_name_H-M_alt 'P 1'
_space_group_IT_number 1
loop_
_space_group_symop_operation_xyz
'x,y,z'
loop_
_atom_site_label
_atom_site_type_symbol
_atom_site_fract_x
_atom_site_fract_y
_atom_site_fract_z
Se1 Se 0.000 0.000 0.000
P1 P 0.000 0.000 0.500
S1 S 0.000 0.500 0.000
S2 S 0.500 0.000 0.000
Hg1 Hg 0.500 0.500 0.500
# Calculated density, g/cm3: 5.41
# Energy above the lowest structure with this stoichiometry, meV/atom: 0
# Total DFT energy (no corrections), eV/cell: -13.41
# Volume, Å³ per cell: 115.0
# Total magnetic moment, μB/f.u.: 0.9

# 3
# Sm4HgPS2, relaxed, DFT GGA-PBE
data_Sm4HgPS2
_chemical_formula_sum 'Sm4 Hg1 P1 S2'
_cell_length_a 4.084
_cell_length_b 7.194
_cell_length_c 7.167
_cell_angle_alpha 71.07
_cell_angle_beta 90.00
_cell_angle_gamma 90.00
_space_group_name_H-M_alt 'P 1'
_space_group_IT_number 1
loop_
_space_group_symop_operation_xyz
'x,y,z'
loop_
_atom_site_label
_atom_site_type_symbol
_atom_site_fract_x
_atom_site_fract_y
_atom_site_fract_z
Sm1 Sm 0.500 0.754 0.263
Sm2 Sm 0.500 0.246 0.737
Sm3 Sm 0.000 0.768 0.730
Sm4 Sm 0.000 0.232 0.270
S1 S 0.000 0.000 0.000
S2 S 0.500 0.000 0.500
P1 P 0.000 0.500 0.500
Hg1 Hg 0.500 0.500 0.000
# Calculated density, g/cm3: 7.48
# Total DFT energy (no corrections), eV/cell: -44.62
# Volume, Å³ per cell: 199.2
# Total magnetic moment, μB/f.u.: 0.0

Question: Look up the total DFT energy (no corrections) of the first one.
Answer: -14.72 eV/cell